DFT (PBE) results for an optimized crystal structure of TePbF6.

abc: 13.0788 4.7705 8.6790
angles: 76.37 90.00 90.00
Fractional positions:
F 0.5302 0.7797 0.9152
F 0.0302 0.2203 0.5848
F 0.4698 0.2203 0.0848
F 0.9698 0.7797 0.4152
F 0.6055 0.6809 0.5450
F 0.1055 0.3191 0.9550
F 0.3945 0.3191 0.4550
F 0.8945 0.6809 0.0450
F 0.1186 0.7985 0.1575
F 0.6186 0.2015 0.3425
F 0.8814 0.2015 0.8425
F 0.3814 0.7985 0.6575
F 0.3165 0.6984 0.0644
F 0.8165 0.3016 0.4356
F 0.6835 0.3016 0.9356
F 0.1835 0.6984 0.5644
F 0.3133 0.2447 0.8374
F 0.8133 0.7553 0.6626
F 0.6867 0.7553 0.1626
F 0.1867 0.2447 0.3374
F 0.1719 0.8837 0.8644
F 0.6719 0.1163 0.6356
F 0.8281 0.1163 0.1356
F 0.3281 0.8837 0.3644
Pb 0.4952 0.6332 0.1924
Pb 0.9952 0.3668 0.3076
Pb 0.5048 0.3668 0.8076
Pb 0.0048 0.6332 0.6924
Te 0.2230 0.0521 0.0285
Te 0.7230 0.9479 0.4715
Te 0.7770 0.9479 0.9715
Te 0.2770 0.0521 0.5285

Calculated values
Its excess energy over the best structure of this formula in the dataset is 0 meV/atom. For the total magnetic moment, the calculation gives 0.00 μB/cell. The value obtained for the raw formation energy is -2252.8 meV/atom. The density of states at the Fermi level is 0.0 states/eV/cell.

***

DFT (PBE) results for an optimized crystal structure of Te2PbF.

abc: 6.1682 6.1682 6.1682
angles: 43.66 43.66 43.66
Fractional positions:
Pb 0.0000 0.0000 0.0000
Te 0.7761 0.7761 0.7761
Te 0.2239 0.2239 0.2239
F 0.5000 0.5000 0.5000

Calculated values
Its excess energy over the best structure of this formula in the dataset is 260 meV/atom. For the total magnetic moment, the calculation gives 0.00 μB/cell. The value obtained for the raw formation energy is -411.0 meV/atom. The density of states at the Fermi level is 3.0 states/eV/cell.

***

DFT (PBE) results for an optimized crystal structure of Te2PbF.

abc: 4.2806 4.2806 12.4408
angles: 80.09 80.09 90.00
Fractional positions:
Pb 0.0000 0.0000 0.0000
Pb 0.7500 0.2500 0.5000
Te 0.6242 0.1250 0.2500
Te 0.1258 0.6250 0.2500
Te 0.3750 0.3758 0.7500
Te 0.8750 0.8742 0.7500
F 0.5000 0.5000 0.0000
F 0.2500 0.7500 0.5000

Calculated values
Its excess energy over the best structure of this formula in the dataset is 0 meV/atom. For the total magnetic moment, the calculation gives 0.00 μB/cell. The value obtained for the raw formation energy is -670.7 meV/atom. The density of states at the Fermi level is 1.6 states/eV/cell.

***

DFT (PBE) results for an optimized crystal structure of TePbF6.

abc: 5.2120 5.2120 5.6973
angles: 74.32 74.32 81.56
Fractional positions:
Te 0.0000 0.0000 0.0000
Pb 0.5000 0.5000 0.5000
F 0.1336 0.7137 0.2885
F 0.7137 0.1336 0.2885
F 0.2863 0.8664 0.7115
F 0.8664 0.2863 0.7115
F 0.2741 0.2741 0.9541
F 0.7259 0.7259 0.0459

Calculated values
Its excess energy over the best structure of this formula in the dataset is 77 meV/atom. For the total magnetic moment, the calculation gives 0.00 μB/cell. The value obtained for the raw formation energy is -2175.9 meV/atom. The density of states at the Fermi level is 0.0 states/eV/cell.

***

- Look up the raw formation energy of the second one.
  -411.0 meV/atom